Entry 1:
DFT (GGA-PBE) results for a relaxed structure of PrDy15Tm4.

DFT formation energy = 21 meV per atom

Cell and atoms, written as CIF:
```
data_PrDy15Tm4
_cell_length_a 5.004
_cell_length_b 5.004
_cell_length_c 25.031
_cell_angle_alpha 90.00
_cell_angle_beta 90.00
_cell_angle_gamma 90.00
_symmetry_space_group_name_H-M 'P 4/m m m'
_symmetry_Int_Tables_number 123
_symmetry_space_group_name_Hall '-P 4 2'
loop_
_atom_site_label
_atom_site_type_symbol
_atom_site_fract_x
_atom_site_fract_y
_atom_site_fract_z
_atom_site_occupancy
Pr1 Pr 0.000 0.000 0.000 1
Dy1 Dy 0.000 0.500 0.103 1
Dy2 Dy 0.000 0.500 0.301 1
Dy3 Dy 0.000 0.500 0.500 1
Dy4 Dy 0.500 0.500 0.000 1
Dy5 Dy 0.500 0.500 0.202 1
Dy6 Dy 0.500 0.500 0.401 1
Tm1 Tm 0.000 0.000 0.202 1
Tm2 Tm 0.000 0.000 0.401 1
```

Entry 2:
DFT (GGA-PBE) results for a relaxed structure of FePSeBr2.

Raw formation energy = 3.43 eV/f.u.
Relative energy among the computed polymorphs = 0.006 eV per atom

Cell and atoms, written as CIF:
```
data_FePSeBr2
_cell_length_a 4.822
_cell_length_b 4.822
_cell_length_c 4.608
_cell_angle_alpha 90.00
_cell_angle_beta 90.00
_cell_angle_gamma 90.00
_symmetry_space_group_name_H-M 'P 4/m m m'
_symmetry_Int_Tables_number 123
_symmetry_space_group_name_Hall '-P 4 2'
loop_
_atom_site_label
_atom_site_type_symbol
_atom_site_fract_x
_atom_site_fract_y
_atom_site_fract_z
_atom_site_occupancy
Fe1 Fe 0.000 0.000 0.000 1
P1 P 0.500 0.500 0.500 1
Se1 Se 0.000 0.000 0.500 1
Br1 Br 0.000 0.500 0.000 1
```

Entry 3:
DFT (GGA-PBE) results for a relaxed structure of YGe2Rh2.

DFT formation energy = -508 meV per atom

Cell and atoms, written as CIF:
```
data_YGe2Rh2
_cell_length_a 7.600
_cell_length_b 7.600
_cell_length_c 2.933
_cell_angle_alpha 90.00
_cell_angle_beta 90.00
_cell_angle_gamma 90.00
_symmetry_space_group_name_H-M 'P 4/m b m'
_symmetry_Int_Tables_number 127
_symmetry_space_group_name_Hall '-P 4 2ab'
loop_
_atom_site_label
_atom_site_type_symbol
_atom_site_fract_x
_atom_site_fract_y
_atom_site_fract_z
_atom_site_occupancy
Y1 Y 0.000 0.000 0.000 1
Ge1 Ge 0.145 0.355 0.000 1
Rh1 Rh 0.145 0.645 0.500 1
```